Si2TcNi, optimized geometry, DFT PBE; space group = No. 99; E_tot = -26.9 eV per cell
1.0
2.652 0.000 0.000
0.000 2.652 0.000
0.000 0.000 7.477
Si Tc Ni
2 1 1
Direct
0.000 0.000 0.000
0.500 0.500 0.296
0.000 0.000 0.543
0.500 0.500 0.798

=====

SiMo4C, optimized geometry, DFT PBE; space group = No. 15; E_tot = -115.8 eV per cell
1.0
3.431 -5.692 0.000
3.431 5.692 0.000
-2.915 0.000 4.400
Si Mo C
2 8 2
Direct
0.120 0.880 0.750
0.880 0.120 0.250
0.157 0.585 0.362
0.211 0.310 0.790
0.310 0.211 0.290
0.415 0.843 0.138
0.585 0.157 0.862
0.690 0.789 0.710
0.789 0.690 0.210
0.843 0.415 0.638
0.443 0.557 0.250
0.557 0.443 0.750

=====

ZnSbPd2, optimized geometry, DFT PBE; space group = No. 122; E_tot = -33.0 eV per cell
1.0
-3.605 3.605 2.817
3.605 -3.605 2.817
3.605 3.605 -2.817
Zn Sb Pd
2 2 4
Direct
0.000 0.000 0.000
0.750 0.250 0.500
0.250 0.750 0.500
0.500 0.500 0.000
0.100 0.125 0.475
0.375 0.900 0.025
0.650 0.625 0.525
0.875 0.350 0.975

=====

Ba3Hg4Pb7, optimized geometry, DFT PBE; space group = No. 12; calculated formation energy = -0.34 eV per atom; E_tot = -37.8 eV per cell
1.0
9.605 -2.611 0.000
9.605 2.611 0.000
-7.009 0.000 9.250
Ba Hg Pb
3 4 7
Direct
0.000 0.000 0.000
0.305 0.305 0.297
0.695 0.695 0.703
0.144 0.144 0.863
0.335 0.335 0.712
0.665 0.665 0.288
0.856 0.856 0.137
0.000 0.000 0.500
0.148 0.148 0.420
0.341 0.341 0.976
0.493 0.493 0.690
0.507 0.507 0.310
0.659 0.659 0.024
0.852 0.852 0.580

=====

- E_tot of number 2 (SiMo4C)?
  -115.8 eV per cell

=====

- The highest E_tot belongs to which entry?
  Si2TcNi

=====

- Among the records above, which one has the highest E_tot?
  Si2TcNi

=====

- What is the formula in the first record?
  Si2TcNi